Entry 1:
ZrTaTcNi | GGA-PBE | relaxed

Lattice parameters (Å, degrees): 4.526 4.526 4.526 60.00 60.00 60.00
Element x y z (fractional)
Ni 0.250 0.250 0.250
Tc 0.750 0.750 0.750
Zr 0.000 0.000 0.000
Ta 0.500 0.500 0.500

Summary:
Space group: F-43m
Final energy, eV per atom: -9.421
Theoretical density, g/cm³: 10.86



Entry 2:
SrEuYIn | GGA-PBE | relaxed

Lattice parameters (Å, degrees): 5.745 5.745 5.745 60.00 60.00 60.00
Element x y z (fractional)
Eu 0.250 0.250 0.250
Y 0.500 0.500 0.500
Sr 0.000 0.000 0.000
In 0.750 0.750 0.750

Summary:
Space group: F-43m
Final energy, eV per atom: -5.377
Theoretical density, g/cm³: 5.49



Entry 3:
Tb2Pm2DyTm2 | GGA-PBE | relaxed

Lattice parameters (Å, degrees): 5.674 5.674 8.758 71.10 71.10 60.00
Element x y z (fractional)
Tb 0.717 0.717 0.850
Tb 0.283 0.283 0.150
Pm 0.139 0.139 0.584
Pm 0.861 0.861 0.416
Dy 0.000 0.000 0.000
Tm 0.573 0.573 0.281
Tm 0.427 0.427 0.719

Summary:
Space group: R-3m
Final energy, eV per atom: -4.475
Theoretical density, g/cm³: 8.13



Entry 4:
NiOs2Rh8 | GGA-PBE | relaxed

Lattice parameters (Å, degrees): 4.287 5.805 7.337 113.30 106.99 90.00
Element x y z (fractional)
Ni 0.500 0.000 0.000
Os 0.193 0.693 0.385
Os 0.807 0.307 0.615
Rh 0.638 0.860 0.275
Rh 0.362 0.585 0.725
Rh 0.177 0.177 0.353
Rh 0.000 0.276 0.000
Rh 0.823 0.823 0.647
Rh 0.638 0.415 0.275
Rh 0.362 0.140 0.725
Rh 0.000 0.724 0.000

Summary:
Space group: Immm
Final energy, eV per atom: -7.718
Theoretical density, g/cm³: 13.19



| no. | calculated formation energy (meV per atom) |
| --- | --- |
| 1 | -284 |
| 2 | -88 |
| 3 | 140 |
| 4 | 196 |